A plane-wave DFT calculation with GGA-PBE was carried out for Cs2Rb5CdHg2 after structural relaxation.

Geometry as POSCAR:
```
Cs2Rb5CdHg2
1.0
15.607 0.000 0.000
0.000 15.607 0.000
0.000 0.000 5.135
Cs Rb Cd Hg
4 10 2 4
direct
0.177 0.323 0.000
0.323 0.823 0.000
0.677 0.177 0.000
0.823 0.677 0.000
0.000 0.500 0.500
0.062 0.804 0.500
0.196 0.062 0.500
0.304 0.562 0.500
0.438 0.304 0.500
0.500 0.000 0.500
0.562 0.696 0.500
0.696 0.438 0.500
0.804 0.938 0.500
0.938 0.196 0.500
0.000 0.000 0.000
0.500 0.500 0.000
0.131 0.631 0.000
0.369 0.131 0.000
0.631 0.869 0.000
0.869 0.369 0.000
```

**Total DFT energy (no corrections)**: -0.8911 eV per atom
**Crystal system**: tetragonal
**Total moment**: 0.00 μB per cell
**E_form**: -0.08 eV/atom


A plane-wave DFT calculation with GGA-PBE was carried out for La6Tl3Ag after structural relaxation.

Geometry as POSCAR:
```
La6Tl3Ag
1.0
9.807 0.000 0.000
0.000 5.510 0.000
-3.479 0.000 11.667
La Tl Ag
12 6 2
direct
0.033 0.250 0.410
0.162 0.750 0.179
0.262 0.250 0.004
0.352 0.750 0.819
0.375 0.250 0.355
0.415 0.250 0.621
0.585 0.750 0.379
0.625 0.750 0.645
0.648 0.250 0.181
0.738 0.750 0.996
0.838 0.250 0.821
0.967 0.750 0.590
0.036 0.750 0.886
0.131 0.250 0.720
0.267 0.750 0.476
0.733 0.250 0.524
0.869 0.750 0.280
0.964 0.250 0.114
0.456 0.750 0.105
0.544 0.250 0.895
```

**Total DFT energy (no corrections)**: -4.2426 eV per atom
**Crystal system**: monoclinic
**ΔE to the lowest computed polymorph**: 0 meV per atom
**Total moment**: 0.00 μB per cell
**E_form**: -0.29 eV/atom


A plane-wave DFT calculation with GGA-PBE was carried out for LaDyTe3 after structural relaxation.

Geometry as POSCAR:
```
LaDyTe3
1.0
4.451 0.000 0.000
0.000 7.643 0.000
0.000 0.000 9.857
La Dy Te
2 2 6
direct
0.250 0.250 0.154
0.750 0.750 0.846
0.250 0.750 0.398
0.750 0.250 0.602
0.250 0.520 0.664
0.250 0.750 0.074
0.250 0.980 0.664
0.750 0.020 0.336
0.750 0.250 0.926
0.750 0.480 0.336
```

**Total DFT energy (no corrections)**: -5.2381 eV per atom
**Crystal system**: orthorhombic
**ΔE to the lowest computed polymorph**: 52 meV per atom
**Total moment**: 0.00 μB per cell
**E_form (uncorrected)**: -1447 meV/atom


A plane-wave DFT calculation with GGA-PBE was carried out for Sc2SbP after structural relaxation.

Geometry as POSCAR:
```
Sc2SbP
1.0
-2.004 2.004 5.080
2.004 -2.004 5.080
2.004 2.004 -5.080
Sc Sb P
2 1 1
direct
0.000 0.000 0.000
0.750 0.250 0.500
0.500 0.500 0.000
0.250 0.750 0.500
```

**Total DFT energy (no corrections)**: -6.3089 eV per atom
**Crystal system**: tetragonal
**Total moment**: 0.00 μB per cell
**E_form (uncorrected)**: -760 meV/atom


A plane-wave DFT calculation with GGA-PBE was carried out for Er4AlPd after structural relaxation.

Geometry as POSCAR:
```
Er4AlPd
1.0
4.386 -6.752 0.000
4.386 6.752 0.000
-2.332 0.000 5.258
Er Al Pd
8 2 2
direct
0.063 0.697 0.922
0.221 0.366 0.675
0.303 0.937 0.578
0.366 0.221 0.175
0.634 0.779 0.825
0.697 0.063 0.422
0.779 0.634 0.325
0.937 0.303 0.078
0.374 0.626 0.250
0.626 0.374 0.750
0.001 0.999 0.750
0.999 0.001 0.250
```

**Total DFT energy (no corrections)**: -4.9115 eV per atom
**Crystal system**: monoclinic
**ΔE to the lowest computed polymorph**: 114 meV per atom
**Total moment**: 0.00 μB per cell
**E_form**: -0.38 eV/atom


A plane-wave DFT calculation with GGA-PBE was carried out for ZrVNi after structural relaxation.

Geometry as POSCAR:
```
ZrVNi
1.0
4.795 -1.940 0.000
4.795 1.940 0.000
-0.041 0.000 5.162
Zr V Ni
2 2 2
direct
0.000 0.000 0.000
0.577 0.577 0.503
0.290 0.290 0.783
0.857 0.857 0.496
0.294 0.294 0.263
0.710 0.710 0.998
```

**Total DFT energy (no corrections)**: -7.9492 eV per atom
**Crystal system**: monoclinic
**ΔE to the lowest computed polymorph**: 108 meV per atom
**Total moment**: 0.00 μB per cell
**E_form**: -0.13 eV/atom